1.
Material: HfFe2Bi
Method: DFT, PBE
State: optimized geometry

a = 4.6303 Å, b = 4.6303 Å, c = 4.6303 Å
α = 60.00°, β = 60.00°, γ = 60.00°
With the nearest neighbours (Å) after each atom.
Fractional positions:
1 Fe 0.0000 0.0000 0.0000  4 Fe 2.84, 4 Hf 2.84
2 Fe 0.7500 0.7500 0.7500  4 Fe 2.84, 4 Bi 2.84
3 Hf 0.2500 0.2500 0.2500  4 Bi 2.84, 4 Fe 2.84
4 Bi 0.5000 0.5000 0.5000  4 Hf 2.84, 4 Fe 2.84

Summary:
Crystal system: cubic
Calculated total energy: -29.1 eV/cell
Symmetry: No. 216
Total moment: 1.0804 μB per atom

=====

2.
Material: CdCoAsAu
Method: DFT, PBE
State: optimized geometry

a = 4.5655 Å, b = 4.5655 Å, c = 4.5655 Å
α = 60.00°, β = 60.00°, γ = 60.00°
With the nearest neighbours (Å) after each atom.
Fractional positions:
1 Au 0.2500 0.2500 0.2500  4 As 2.80, 4 Cd 2.80
2 Co 0.7500 0.7500 0.7500  4 As 2.80, 4 Cd 2.80
3 As 0.0000 0.0000 0.0000  4 Co 2.80, 4 Au 2.80
4 Cd 0.5000 0.5000 0.5000  4 Au 2.80, 4 Co 2.80

Summary:
Crystal system: cubic
Calculated total energy: -14.6 eV/cell
Symmetry: No. 216
Energy above the most stable polymorph in this dataset: 0 meV/atom
Total moment: 0.0486 μB per atom

=====

3.
Material: HoEr2Fe7Co2
Method: DFT, PBE
State: optimized geometry

a = 8.5931 Å, b = 8.5931 Å, c = 8.5931 Å
α = 33.94°, β = 33.94°, γ = 33.94°
With the nearest neighbours (Å) after each atom.
Fractional positions:
1 Co 0.3326 0.3326 0.3326  6 Fe 2.44-2.47
2 Co 0.6674 0.6674 0.6674  6 Fe 2.44-2.47
3 Fe 0.4183 0.4183 0.9178  2 Co 2.44-2.47, 5 Fe 2.51-2.52
4 Fe 0.5000 0.5000 0.5000  6 Fe 2.52
5 Fe 0.4183 0.9178 0.4183  2 Co 2.44-2.47, 5 Fe 2.51-2.52
6 Fe 0.0822 0.5817 0.5817  2 Co 2.44-2.47, 5 Fe 2.51-2.52
7 Fe 0.5817 0.5817 0.0822  2 Co 2.44-2.47, 5 Fe 2.51-2.52
8 Fe 0.9178 0.4183 0.4183  2 Co 2.44-2.47, 5 Fe 2.51-2.52
9 Fe 0.5817 0.0822 0.5817  2 Co 2.44-2.47, 5 Fe 2.51-2.52
10 Er 0.1421 0.1421 0.1421  12 Fe 2.90-3.03, 3 Er 3.13
11 Er 0.8579 0.8579 0.8579  12 Fe 2.90-3.03, 3 Er 3.13
12 Ho 0.0000 0.0000 0.0000  6 Co 2.90, 12 Fe 3.20

Summary:
Energy of formation from the pure elements: -0.120 eV/atom
Crystal system: trigonal
Calculated total energy: -87.5 eV/cell
Symmetry: No. 166
Total moment: 1.3487 μB per atom

=====

4.
Material: TmTaTe
Method: DFT, PBE
State: optimized geometry

a = 4.7556 Å, b = 4.7556 Å, c = 4.7556 Å
α = 60.00°, β = 60.00°, γ = 60.00°
With the nearest neighbours (Å) after each atom.
Fractional positions:
1 Tm 0.7500 0.7500 0.7500  4 Te 2.91
2 Ta 0.2500 0.2500 0.2500  4 Te 2.91
3 Te 0.0000 0.0000 0.0000  4 Tm 2.91, 4 Ta 2.91

Summary:
Crystal system: cubic
Calculated total energy: -18.6 eV/cell
Symmetry: No. 216
Energy above the most stable polymorph in this dataset: 0 meV/atom
Total moment: 0.0014 μB per atom

=====

Look up the total moment of the third one.
1.3487 μB per atom

=====

Look up the total moment of the third one.
1.3487 μB per atom

=====

What is the calculated total energy in the first record?
-29.1 eV/cell

=====

Which of these has the lowest calculated total energy?
HoEr2Fe7Co2